A plane-wave DFT calculation with PBE-GGA was carried out for crystalline Sc2BiAu at its relaxed geometry.

Structure (POSCAR):
```
Sc2BiAu
1.0
0.000 3.584 3.584
3.584 0.000 3.584
3.584 3.584 0.000
Sc Bi Au
2 1 1
Direct
0.750 0.750 0.750
0.000 0.000 0.000
0.500 0.500 0.500
0.250 0.250 0.250
```

Values from the calculation:
density: 8.94 g/cm3
crystal system: cubic
raw total energy: -5.091 eV/atom

A plane-wave DFT calculation with PBE-GGA was carried out for crystalline Na4Al3Zn at its relaxed geometry.

Structure (POSCAR):
```
Na4Al3Zn
1.0
4.872 0.000 0.000
0.000 4.872 0.000
0.000 0.000 6.947
Al Na Zn
3 4 1
Direct
0.500 0.500 0.500
0.000 0.500 0.749
0.500 0.000 0.251
0.500 0.000 0.759
0.000 0.000 0.500
0.500 0.500 0.000
0.000 0.500 0.241
0.000 0.000 0.000
```

Values from the calculation:
density: 2.40 g/cm3
crystal system: tetragonal
raw total energy: -2.103 eV/atom

A plane-wave DFT calculation with PBE-GGA was carried out for crystalline LiNdU at its relaxed geometry.

Structure (POSCAR):
```
LiNdU
1.0
0.965 -4.009 2.732
-0.278 0.243 4.932
-3.667 -2.307 2.387
Nd Li U
1 1 1
Direct
0.250 0.250 0.250
0.000 0.000 0.000
0.750 0.750 0.750
```

Values from the calculation:
density: 7.55 g/cm3
crystal system: cubic
raw total energy: -4.883 eV/atom

A plane-wave DFT calculation with PBE-GGA was carried out for crystalline LiLuCuGe at its relaxed geometry.

Structure (POSCAR):
```
LiLuCuGe
1.0
-3.890 -2.342 0.367
-3.035 1.115 3.209
-3.949 1.944 -1.177
Li Cu Ge Lu
1 1 1 1
Direct
0.500 0.500 0.500
0.750 0.750 0.750
0.000 0.000 0.000
0.250 0.250 0.250
```

Values from the calculation:
density: 7.90 g/cm3
crystal system: cubic
raw total energy: -3.926 eV/atom

A plane-wave DFT calculation with PBE-GGA was carried out for crystalline Sm5InTe4 at its relaxed geometry.

Structure (POSCAR):
```
Sm5InTe4
1.0
7.468 -1.872 0.534
-6.434 -4.191 0.774
-0.391 1.565 -7.547
Sm In Te
5 1 4
Direct
0.099 0.295 0.392
0.501 0.501 0.000
0.707 0.099 0.803
0.295 0.903 0.197
0.903 0.707 0.608
0.001 0.001 0.000
0.403 0.200 0.601
0.200 0.599 0.797
0.599 0.802 0.399
0.802 0.403 0.203
```

Values from the calculation:
density: 7.32 g/cm3
crystal system: tetragonal
raw total energy: -5.117 eV/atom

A plane-wave DFT calculation with PBE-GGA was carried out for crystalline CsCuNiTeS2 at its relaxed geometry.

Structure (POSCAR):
```
CsCuNiTeS2
1.0
1.781 -8.320 0.000
1.781 8.320 0.000
0.000 0.000 9.944
S Ni Cs Te Cu
4 2 2 2 2
Direct
0.092 0.908 0.464
0.908 0.092 0.964
0.908 0.092 0.536
0.092 0.908 0.036
0.500 0.500 0.500
0.500 0.500 0.000
0.265 0.735 0.750
0.735 0.265 0.250
0.436 0.564 0.250
0.564 0.436 0.750
0.949 0.051 0.750
0.051 0.949 0.250
```

Values from the calculation:
density: 5.03 g/cm3
crystal system: orthorhombic
raw total energy: -3.947 eV/atom

A plane-wave DFT calculation with PBE-GGA was carried out for crystalline PrSmTl2 at its relaxed geometry.

Structure (POSCAR):
```
PrSmTl2
1.0
3.887 0.000 0.000
0.000 3.887 0.000
0.000 0.000 7.758
Pr Sm Tl
1 1 2
Direct
0.000 0.000 0.500
0.000 0.000 0.000
0.500 0.500 0.243
0.500 0.500 0.757
```

Values from the calculation:
density: 9.92 g/cm3
crystal system: tetragonal
raw total energy: -3.945 eV/atom

A plane-wave DFT calculation with PBE-GGA was carried out for crystalline Al2HgO4 at its relaxed geometry.

Structure (POSCAR):
```
Al2HgO4
1.0
-2.440 2.440 4.052
2.440 -2.440 4.052
2.440 2.440 -4.052
O Al Hg
4 2 1
Direct
0.876 0.466 0.093
0.534 0.627 0.410
0.373 0.783 0.907
0.217 0.124 0.590
0.500 0.500 0.000
0.250 0.750 0.500
0.000 0.000 0.000
```

Values from the calculation:
density: 5.48 g/cm3
crystal system: tetragonal
raw total energy: -6.120 eV/atom

Please write out number 7 again, unchanged.
A plane-wave DFT calculation with PBE-GGA was carried out for crystalline PrSmTl2 at its relaxed geometry.

Structure (POSCAR):
```
PrSmTl2
1.0
3.887 0.000 0.000
0.000 3.887 0.000
0.000 0.000 7.758
Pr Sm Tl
1 1 2
Direct
0.000 0.000 0.500
0.000 0.000 0.000
0.500 0.500 0.243
0.500 0.500 0.757
```

Values from the calculation:
density: 9.92 g/cm3
crystal system: tetragonal
raw total energy: -3.945 eV/atom

> The highest raw total energy belongs to which entry?

Na4Al3Zn

> The highest density belongs to which entry?

PrSmTl2